1.
TmTaTe | GGA-PBE | relaxed

Unit cell a=4.954 b=4.954 c=4.954 alpha=60.00 beta=60.00 gamma=60.00
Atoms (fractional coordinates):
Tm: 0.000 0.000 0.000
Ta: 0.750 0.750 0.750
Te: 0.250 0.250 0.250

Summary:
**Magnetization**: 2.68 μB per formula unit
**Energy above the lowest structure with this stoichiometry**: 550 meV per atom
**SG**: F-43m
**Calculated density**: 9.23 g/cm³

2.
Zn2HgOs | GGA-PBE | relaxed

Unit cell a=4.493 b=4.493 c=4.493 alpha=60.00 beta=60.00 gamma=60.00
Atoms (fractional coordinates):
Zn: 0.000 0.000 0.000
Zn: 0.250 0.250 0.250
Hg: 0.750 0.750 0.750
Os: 0.500 0.500 0.500

Summary:
**Magnetization**: 0.00 μB per formula unit
**SG**: F-43m
**Energy of formation**: 0.553 eV/atom
**Calculated density**: 13.51 g/cm³

3.
Gd3Mg3AlCd2 | GGA-PBE | relaxed

Unit cell a=7.475 b=7.475 c=4.670 alpha=90.00 beta=90.00 gamma=120.00
Atoms (fractional coordinates):
Gd: 0.000 0.421 0.000
Gd: 0.421 0.000 0.000
Gd: 0.579 0.579 0.000
Mg: 0.000 0.762 0.500
Mg: 0.238 0.238 0.500
Mg: 0.762 0.000 0.500
Al: 0.000 0.000 0.000
Cd: 0.333 0.667 0.500
Cd: 0.667 0.333 0.500

Summary:
**Magnetization**: 0.12 μB per formula unit
**SG**: P-62m
**Uncorrected energy**: -2.9356 eV per atom
**Calculated density**: 5.85 g/cm³

> What is the magnetization in the second record?

0.00 μB per formula unit